[1]
4
Lattice="0.0000 3.2918 3.2918 3.2918 0.0000 3.2918 3.2918 3.2918 0.0000" Properties=species:S:1:pos:R:3 comment="RbBe2Tc PBE optimized geometry" ef_ev_per_fu=6.59 de_polymorph_kcal_per_mol_atoms=10.94 spacegroup="Fm-3m (225)" pbc="T T T"
Rb 0.0000 0.0000 0.0000
Be 1.6459 1.6459 1.6459
Be 4.9378 4.9378 4.9378
Tc 3.2918 3.2918 3.2918

=====

[2]
16
Lattice="4.3949 2.5374 7.4089 -4.3949 2.5374 7.4089 0.0000 -5.0748 7.4089" Properties=species:S:1:pos:R:3 comment="Ac8TeIr3S4 PBE optimized geometry" formation_energy_uncorrected_mev_per_atom=-1367 spacegroup="R-3m (166)" pbc="T T T"
Ac -2.3348 -1.3480 12.8987
Ac 0.0000 -2.6959 9.3280
Ac -2.3348 1.3480 9.3280
Ac 0.0000 0.0000 5.4310
Ac 0.0000 0.0000 16.7957
Ac 2.3348 -1.3480 12.8987
Ac 0.0000 2.6959 12.8987
Ac 2.3348 1.3480 9.3280
Te 0.0000 0.0000 11.1134
Ir -4.3949 0.0000 11.1134
Ir -2.1974 1.2687 3.7045
Ir 2.1974 1.2687 3.7045
S 0.0000 0.0000 0.0000
S -2.1974 -1.2687 7.4089
S -2.1974 1.2687 14.8178
S 0.0000 2.5374 7.4089

=====

[3]
4
Lattice="0.0000 3.2049 3.2049 3.2049 0.0000 3.2049 3.2049 3.2049 0.0000" Properties=species:S:1:pos:R:3 comment="MgPdPtAu PBE optimized geometry" ef_ev_per_fu=-1.85 de_polymorph_kcal_per_mol_atoms=1.75 spacegroup="F-43m (216)" pbc="T T T"
Mg 0.0000 0.0000 0.0000
Pd 4.8074 4.8074 4.8074
Pt 1.6025 1.6025 1.6025
Au 3.2049 3.2049 3.2049